Record 1
VASP calculation (GGA-PBE) on a geometry-optimized KGePbBr5 structure.

Results
- Uncorrected formation energy: -751 kJ/mol of formula units
- Calculated volume: 38.795 Å³/atom
- Space group: C2/c, No. 15

abc: 7.903 7.903 11.794
angles: 111.06 111.06 95.20
Atoms (fractional coordinates):
Br: 0.366 0.886 0.591
Br: 0.763 0.602 0.412
Br: 0.958 0.042 0.750
Br: 0.398 0.237 0.088
Br: 0.114 0.634 0.909
Br: 0.042 0.958 0.250
Br: 0.237 0.398 0.588
Br: 0.886 0.366 0.091
Br: 0.634 0.114 0.409
Br: 0.602 0.763 0.912
K: 0.673 0.327 0.750
K: 0.327 0.673 0.250
Ge: 0.732 0.268 0.250
Ge: 0.268 0.732 0.750
Pb: 0.000 0.000 0.500
Pb: 0.000 0.000 0.000

Record 2
VASP calculation (GGA-PBE) on a geometry-optimized KPrGe2Br8 structure.

Results
- Uncorrected formation energy: -1351 kJ/mol of formula units
- Calculated volume: 38.145 Å³/atom
- Space group: P-1, No. 2

abc: 7.298 6.761 9.324
angles: 87.75 86.30 86.06
Atoms (fractional coordinates):
Ge: 0.541 0.541 0.250
Ge: 0.459 0.459 0.750
Br: 0.639 0.728 0.452
Br: 0.673 0.756 0.033
Br: 0.816 0.235 0.777
Br: 0.184 0.765 0.223
Br: 0.147 0.733 0.773
Br: 0.361 0.272 0.548
Br: 0.853 0.267 0.227
Br: 0.327 0.244 0.967
K: 0.000 0.000 0.500
Pr: 0.000 0.000 0.000

Record 3
VASP calculation (GGA-PBE) on a geometry-optimized KPuGe2Br8 structure.

Results
- Uncorrected formation energy: -1211 kJ/mol of formula units
- Calculated volume: 37.454 Å³/atom
- Space group: P-1, No. 2

abc: 7.334 6.692 9.198
angles: 88.09 86.30 86.38
Atoms (fractional coordinates):
Br: 0.325 0.238 0.968
Br: 0.815 0.233 0.783
Br: 0.185 0.767 0.217
Br: 0.639 0.729 0.456
Br: 0.149 0.733 0.776
Br: 0.361 0.271 0.544
Br: 0.851 0.267 0.224
Br: 0.675 0.762 0.032
K: 0.000 0.000 0.500
Ge: 0.458 0.459 0.751
Ge: 0.542 0.541 0.249
Pu: 0.000 0.000 0.000

Record 4
VASP calculation (GGA-PBE) on a geometry-optimized KRbGeBr2 structure.

Results
- Uncorrected formation energy: -156 kJ/mol of formula units
- Calculated volume: 48.351 Å³/atom
- Space group: P4/mmm, No. 123

abc: 6.036 6.636 6.036
angles: 90.00 90.00 90.00
Atoms (fractional coordinates):
Br: 0.000 0.000 0.500
Br: 0.500 0.000 0.000
Rb: 0.000 0.500 0.000
Ge: 0.500 0.500 0.500
K: 0.000 0.000 0.000

Record 5
VASP calculation (GGA-PBE) on a geometry-optimized KRb2GeBr6 structure.

Results
- Uncorrected formation energy: -1153 kJ/mol of formula units
- Calculated volume: 38.632 Å³/atom
- Space group: Fm-3m, No. 225

abc: 8.175 8.175 8.175
angles: 60.00 60.00 90.00
Atoms (fractional coordinates):
Br: 0.229 0.771 0.000
Br: 0.229 0.229 0.000
Br: 0.771 0.771 0.000
Br: 0.771 0.229 0.000
Br: 0.771 0.771 0.458
Br: 0.229 0.229 0.542
Rb: 0.750 0.250 0.500
Rb: 0.250 0.750 0.500
K: 0.500 0.500 0.000
Ge: 0.000 0.000 0.000

Record 6
VASP calculation (GGA-PBE) on a geometry-optimized KRb2GeBr5 structure.

Results
- Uncorrected formation energy: -1167 kJ/mol of formula units
- Calculated volume: 38.567 Å³/atom
- Space group: Cmc2_1, No. 36

abc: 5.062 10.123 13.991
angles: 90.00 90.00 104.48
Atoms (fractional coordinates):
Rb: 0.855 0.710 0.818
Rb: 0.109 0.219 0.685
Rb: 0.891 0.781 0.185
Rb: 0.145 0.290 0.318
Br: 0.514 0.028 0.267
Br: 0.659 0.317 0.879
Br: 0.623 0.245 0.500
Br: 0.377 0.755 0.000
Br: 0.717 0.435 0.179
Br: 0.961 0.923 0.526
Br: 0.341 0.683 0.379
Br: 0.486 0.972 0.767
Br: 0.283 0.565 0.679
Br: 0.039 0.077 0.026
K: 0.791 0.582 0.526
K: 0.209 0.418 0.026
Ge: 0.527 0.054 0.944
Ge: 0.473 0.946 0.444

Record 7
VASP calculation (GGA-PBE) on a geometry-optimized KGeS2Br structure.

Results
- Uncorrected formation energy: 205 kJ/mol of formula units
- Calculated volume: 29.938 Å³/atom
- Space group: P4/mmm, No. 123

abc: 5.470 5.470 5.003
angles: 90.00 90.00 90.00
Atoms (fractional coordinates):
Br: 0.000 0.000 0.000
S: 0.500 0.000 0.000
S: 0.000 0.500 0.000
Ge: 0.000 0.000 0.500
K: 0.500 0.500 0.500

Record 8
VASP calculation (GGA-PBE) on a geometry-optimized KGe2SbBr8 structure.

Results
- Uncorrected formation energy: -862 kJ/mol of formula units
- Calculated volume: 37.609 Å³/atom
- Space group: P-1, No. 2

abc: 7.283 6.768 9.200
angles: 89.20 86.80 85.35
Atoms (fractional coordinates):
Sb: 0.000 0.000 0.000
Br: 0.686 0.765 0.031
Br: 0.143 0.735 0.778
Br: 0.645 0.723 0.454
Br: 0.355 0.277 0.546
Br: 0.812 0.227 0.789
Br: 0.188 0.773 0.211
Br: 0.314 0.235 0.969
Br: 0.857 0.265 0.222
Ge: 0.449 0.451 0.760
Ge: 0.551 0.549 0.240
K: 0.000 0.000 0.500

Record 9
VASP calculation (GGA-PBE) on a geometry-optimized KScGe2Br8 structure.

Results
- Uncorrected formation energy: -1278 kJ/mol of formula units
- Calculated volume: 36.365 Å³/atom
- Space group: P-1, No. 2

abc: 7.706 6.507 8.923
angles: 95.32 82.46 81.98
Atoms (fractional coordinates):
Br: 0.355 0.280 0.491
Br: 0.930 0.319 0.233
Br: 0.070 0.681 0.767
Br: 0.191 0.781 0.163
Br: 0.809 0.219 0.837
Br: 0.301 0.149 0.898
Br: 0.645 0.720 0.509
Br: 0.699 0.851 0.102
Ge: 0.617 0.548 0.257
Ge: 0.383 0.452 0.743
K: 0.000 0.000 0.500
Sc: 0.000 0.000 0.000

Record 10
VASP calculation (GGA-PBE) on a geometry-optimized KScGeBr6 structure.

Results
- Uncorrected formation energy: -1175 kJ/mol of formula units
- Calculated volume: 35.701 Å³/atom
- Space group: P-31c, No. 163

abc: 7.145 7.145 14.533
angles: 90.00 90.00 120.00
Atoms (fractional coordinates):
Br: 0.377 0.016 0.143
Br: 0.638 0.623 0.143
Br: 0.377 0.362 0.357
Br: 0.362 0.377 0.857
Br: 0.362 0.984 0.643
Br: 0.984 0.362 0.143
Br: 0.623 0.638 0.643
Br: 0.638 0.016 0.357
Br: 0.016 0.638 0.857
Br: 0.984 0.623 0.357
Br: 0.016 0.377 0.643
Br: 0.623 0.984 0.857
Sc: 0.667 0.333 0.250
Sc: 0.333 0.667 0.750
K: 0.000 0.000 0.500
K: 0.000 0.000 0.000
Ge: 0.333 0.667 0.250
Ge: 0.667 0.333 0.750

Record 11
VASP calculation (GGA-PBE) on a geometry-optimized KGeSe2Br structure.

Results
- Uncorrected formation energy: 335 kJ/mol of formula units
- Calculated volume: 38.068 Å³/atom
- Space group: P4/mmm, No. 123

abc: 5.783 5.783 5.691
angles: 90.00 90.00 90.00
Atoms (fractional coordinates):
Se: 0.500 0.000 0.000
Se: 0.000 0.500 0.000
Ge: 0.500 0.500 0.500
Br: 0.000 0.000 0.500
K: 0.000 0.000 0.000

Record 12
VASP calculation (GGA-PBE) on a geometry-optimized KGeSe2Br structure.

Results
- Uncorrected formation energy: -237 kJ/mol of formula units
- Calculated volume: 29.483 Å³/atom
- Space group: P4/mmm, No. 123

abc: 5.027 5.027 5.834
angles: 90.00 90.00 90.00
Atoms (fractional coordinates):
Se: 0.500 0.000 0.000
Se: 0.000 0.500 0.000
K: 0.500 0.500 0.500
Br: 0.000 0.000 0.500
Ge: 0.000 0.000 0.000